Sr2SmHg10, relaxed, DFT PBE-GGA; formation energy from the elements = -0.176 eV per atom; DOS(E_F) = 7.01 states/eV/f.u.; E_tot = -26.78 eV for the cell shown
1.0
6.956 0.000 0.000
0.000 11.365 0.000
0.000 0.000 11.280
Sr Hg Sm
4 20 2
Direct
0.500 0.894 0.168
0.500 0.394 0.332
0.500 0.106 0.832
0.500 0.606 0.668
0.000 0.041 0.281
0.294 0.822 0.884
0.706 0.178 0.116
0.000 0.299 0.314
0.000 0.959 0.719
0.000 0.459 0.781
0.000 0.360 0.028
0.000 0.201 0.814
0.000 0.701 0.686
0.000 0.860 0.472
0.706 0.822 0.884
0.294 0.322 0.616
0.294 0.178 0.116
0.000 0.140 0.528
0.706 0.322 0.616
0.000 0.640 0.972
0.294 0.678 0.384
0.706 0.678 0.384
0.000 0.799 0.186
0.000 0.541 0.219
0.000 0.500 0.500
0.000 0.000 0.000